Below is a PBEsol-optimized structure of Y4ZrSb, with properties calculated at the meta-GGA SCAN level.

Formation energy (no corrections) ... 0.309 eV/atom
Calculated total energy ... -29.580 eV/atom
Theoretical density ... 5.7 g cm⁻³

Cell and atoms, written as POSCAR:
```
Y4ZrSb
1.0
-5.2711 3.0442 -0.9143
-5.3142 -2.3793 1.9963
-2.9308 2.5776 4.7596
Sb Y Zr
1 4 1
direct
0.0000 0.0000 0.0000 Sb
0.3767 0.3767 0.3767 Y
0.8699 0.3767 0.3767 Y
0.3767 0.8699 0.3767 Y
0.3767 0.3767 0.8699 Y
0.7500 0.7500 0.7500 Zr
```